(1)
Below is a relaxed structure of SmZn2GeAu2, with properties calculated at the GGA-PBE level.

Cell and atoms, written as CIF:
```
data_SmZn2GeAu2
_chemical_formula_sum 'Sm1 Zn2 Ge1 Au2'
_space_group_name_H-M_alt 'P 4/m m m'
_space_group_IT_number 123
_space_group_name_Hall '-P 4 2'
_cell_length_a 4.7159
_cell_length_b 4.7159
_cell_length_c 5.7647
_cell_angle_alpha 90.00
_cell_angle_beta 90.00
_cell_angle_gamma 90.00
loop_
_atom_site_label
_atom_site_fract_x
_atom_site_fract_y
_atom_site_fract_z
Sm1 0.0000 0.0000 0.0000
Zn1 0.0000 0.5000 0.5000
Ge1 0.0000 0.0000 0.5000
Au1 0.5000 0.5000 0.2354
```

Summary:
calculated volume = 128.2 Å³/cell
crystal system = tetragonal

(2)
Below is a relaxed structure of Sn2GeAu2, with properties calculated at the GGA-PBE level.

Cell and atoms, written as CIF:
```
data_Sn2GeAu2
_chemical_formula_sum 'Sn4 Ge2 Au4'
_space_group_name_H-M_alt 'I 4/m m m'
_space_group_IT_number 139
_space_group_name_Hall '-I 4 2'
_cell_length_a 3.8751
_cell_length_b 3.8751
_cell_length_c 15.5549
_cell_angle_alpha 90.00
_cell_angle_beta 90.00
_cell_angle_gamma 90.00
loop_
_atom_site_label
_atom_site_fract_x
_atom_site_fract_y
_atom_site_fract_z
Sn1 0.0000 0.0000 0.1024
Ge1 0.0000 0.0000 0.5000
Au1 0.0000 0.5000 0.2500
```

Summary:
energy above the most stable polymorph in this dataset = 163 meV/atom
calculated volume = 233.6 Å³/cell
crystal system = tetragonal

(3)
Below is a relaxed structure of SnGeAu4, with properties calculated at the GGA-PBE level.

Cell and atoms, written as CIF:
```
data_SnGeAu4
_chemical_formula_sum 'Sn1 Ge1 Au4'
_space_group_name_H-M_alt 'P -1'
_space_group_IT_number 2
_cell_length_a 3.5818
_cell_length_b 6.0363
_cell_length_c 6.1201
_cell_angle_alpha 99.74
_cell_angle_beta 90.63
_cell_angle_gamma 106.86
loop_
_space_group_symop_operation_xyz
'x,y,z'
'-x,-y,-z'
loop_
_atom_site_label
_atom_site_fract_x
_atom_site_fract_y
_atom_site_fract_z
Sn1 0.0000 0.0000 0.0000
Ge1 0.5000 0.0000 0.5000
Au1 0.1546 0.3130 0.4167
Au2 0.3339 0.6613 0.1339
```

Summary:
energy above the most stable polymorph in this dataset = 30 meV/atom
calculated volume = 124.6 Å³/cell
crystal system = triclinic

(4)
Below is a relaxed structure of Sn3Ge2Au8, with properties calculated at the GGA-PBE level.

Cell and atoms, written as CIF:
```
data_Sn3Ge2Au8
_chemical_formula_sum 'Sn6 Ge4 Au16'
_space_group_name_H-M_alt 'C 1 2/m 1'
_space_group_IT_number 12
_cell_length_a 10.8972
_cell_length_b 8.8459
_cell_length_c 5.8313
_cell_angle_alpha 90.00
_cell_angle_beta 95.64
_cell_angle_gamma 90.00
loop_
_space_group_symop_operation_xyz
'x,y,z'
'-x,-y,-z'
'-x,y,-z'
'x,-y,z'
'x+1/2,y+1/2,z'
'-x+1/2,-y+1/2,-z'
'-x+1/2,y+1/2,-z'
'x+1/2,-y+1/2,z'
loop_
_atom_site_label
_atom_site_fract_x
_atom_site_fract_y
_atom_site_fract_z
Sn1 0.0000 0.0000 0.0000
Sn2 0.0000 0.2192 0.5000
Ge1 0.1775 0.5000 0.9042
Au1 0.0506 0.5000 0.2748
Au2 0.1822 0.0000 0.6325
Au3 0.1904 0.2246 0.2062
```

Summary:
calculated volume = 559.4 Å³/cell
crystal system = monoclinic

(5)
Below is a relaxed structure of Sn2GeAu6, with properties calculated at the GGA-PBE level.

Cell and atoms, written as CIF:
```
data_Sn2GeAu6
_chemical_formula_sum 'Sn4 Ge2 Au12'
_space_group_name_H-M_alt 'C 1 2/m 1'
_space_group_IT_number 12
_cell_length_a 17.5724
_cell_length_b 3.6400
_cell_length_c 6.4981
_cell_angle_alpha 90.00
_cell_angle_beta 109.35
_cell_angle_gamma 90.00
loop_
_space_group_symop_operation_xyz
'x,y,z'
'-x,-y,-z'
'-x,y,-z'
'x,-y,z'
'x+1/2,y+1/2,z'
'-x+1/2,-y+1/2,-z'
'-x+1/2,y+1/2,-z'
'x+1/2,-y+1/2,z'
loop_
_atom_site_label
_atom_site_fract_x
_atom_site_fract_y
_atom_site_fract_z
Sn1 0.1615 0.0000 0.4447
Ge1 0.0000 0.0000 0.0000
Au1 0.0282 0.5000 0.3212
Au2 0.1117 0.0000 0.8238
Au3 0.2395 0.5000 0.8144
```

Summary:
calculated volume = 392.2 Å³/cell
crystal system = monoclinic

(6)
Below is a relaxed structure of Sn12GeAu6, with properties calculated at the GGA-PBE level.

Cell and atoms, written as CIF:
```
data_Sn12GeAu6
_chemical_formula_sum 'Sn36 Ge3 Au18'
_space_group_name_H-M_alt 'R -3'
_space_group_IT_number 148
_space_group_name_Hall '-R 3'
_cell_length_a 12.4593
_cell_length_b 12.4593
_cell_length_c 11.6029
_cell_angle_alpha 90.00
_cell_angle_beta 90.00
_cell_angle_gamma 120.00
loop_
_atom_site_label
_atom_site_fract_x
_atom_site_fract_y
_atom_site_fract_z
Sn1 0.0433 0.8190 0.4027
Sn2 0.0475 0.8219 0.8951
Ge1 0.0000 0.0000 0.0000
Au1 0.0518 0.7957 0.6533
```

Summary:
calculated volume = 1559.9 Å³/cell
crystal system = trigonal

(7)
Below is a relaxed structure of Sn2GeAu3, with properties calculated at the GGA-PBE level.

Cell and atoms, written as CIF:
```
data_Sn2GeAu3
_chemical_formula_sum 'Sn8 Ge4 Au12'
_space_group_name_H-M_alt 'C m c 21'
_space_group_IT_number 36
_cell_length_a 11.3472
_cell_length_b 8.7929
_cell_length_c 5.5628
_cell_angle_alpha 90.00
_cell_angle_beta 90.00
_cell_angle_gamma 90.00
loop_
_space_group_symop_operation_xyz
'x,y,z'
'-x,-y,z+1/2'
'-x,y,z'
'x,-y,z+1/2'
'x+1/2,y+1/2,z'
'-x+1/2,-y+1/2,z+1/2'
'-x+1/2,y+1/2,z'
'x+1/2,-y+1/2,z+1/2'
loop_
_atom_site_label
_atom_site_fract_x
_atom_site_fract_y
_atom_site_fract_z
Sn1 0.1767 0.1409 0.0000
Ge1 0.0000 0.3447 0.5131
Au1 0.0000 0.0680 0.6558
Au2 0.1422 0.4353 0.1661
```

Summary:
calculated volume = 555.0 Å³/cell
crystal system = orthorhombic

(8)
Below is a relaxed structure of Sn2GeAu2, with properties calculated at the GGA-PBE level.

Cell and atoms, written as CIF:
```
data_Sn2GeAu2
_chemical_formula_sum 'Sn4 Ge2 Au4'
_space_group_name_H-M_alt 'P 4/m b m'
_space_group_IT_number 127
_space_group_name_Hall '-P 4 2ab'
_cell_length_a 7.9835
_cell_length_b 7.9835
_cell_length_c 3.6379
_cell_angle_alpha 90.00
_cell_angle_beta 90.00
_cell_angle_gamma 90.00
loop_
_atom_site_label
_atom_site_fract_x
_atom_site_fract_y
_atom_site_fract_z
Sn1 0.1744 0.3256 0.0000
Ge1 0.0000 0.0000 0.0000
Au1 0.1280 0.6280 0.5000
```

Summary:
energy above the most stable polymorph in this dataset = 169 meV/atom
calculated volume = 231.9 Å³/cell
crystal system = tetragonal

(9)
Below is a relaxed structure of Sn2GeAu2, with properties calculated at the GGA-PBE level.

Cell and atoms, written as CIF:
```
data_Sn2GeAu2
_chemical_formula_sum 'Sn8 Ge4 Au8'
_space_group_name_H-M_alt 'C m c 21'
_space_group_IT_number 36
_cell_length_a 4.4018
_cell_length_b 13.0586
_cell_length_c 8.7838
_cell_angle_alpha 90.00
_cell_angle_beta 90.00
_cell_angle_gamma 90.00
loop_
_space_group_symop_operation_xyz
'x,y,z'
'-x,-y,z+1/2'
'-x,y,z'
'x,-y,z+1/2'
'x+1/2,y+1/2,z'
'-x+1/2,-y+1/2,z+1/2'
'-x+1/2,y+1/2,z'
'x+1/2,-y+1/2,z+1/2'
loop_
_atom_site_label
_atom_site_fract_x
_atom_site_fract_y
_atom_site_fract_z
Sn1 0.0000 0.0721 0.0000
Sn2 0.0000 0.3748 0.7832
Ge1 0.0000 0.1389 0.7010
Au1 0.0000 0.2448 0.1904
Au2 0.0000 0.4543 0.0803
```

Summary:
energy above the most stable polymorph in this dataset = 0 meV/atom
calculated volume = 504.9 Å³/cell
crystal system = orthorhombic

(10)
Below is a relaxed structure of Sn12Ge3Au5, with properties calculated at the GGA-PBE level.

Cell and atoms, written as CIF:
```
data_Sn12Ge3Au5
_chemical_formula_sum 'Sn96 Ge24 Au40'
_space_group_name_H-M_alt 'I a -3 d'
_space_group_IT_number 230
_space_group_name_Hall '-I 4bd 2c 3'
_cell_length_a 16.5612
_cell_length_b 16.5612
_cell_length_c 16.5612
_cell_angle_alpha 90.00
_cell_angle_beta 90.00
_cell_angle_gamma 90.00
loop_
_atom_site_label
_atom_site_fract_x
_atom_site_fract_y
_atom_site_fract_z
Sn1 0.0194 0.0752 0.6503
Ge1 0.0000 0.2500 0.1250
Au1 0.0000 0.0000 0.0000
Au2 0.0000 0.2500 0.3750
```

Summary:
calculated volume = 4542.3 Å³/cell
crystal system = cubic

(11)
Below is a relaxed structure of SnGeAu4, with properties calculated at the GGA-PBE level.

Cell and atoms, written as CIF:
```
data_SnGeAu4
_chemical_formula_sum 'Sn4 Ge4 Au16'
_space_group_name_H-M_alt 'F -4 3 m'
_space_group_IT_number 216
_space_group_name_Hall 'F -4 2 3'
_cell_length_a 7.9314
_cell_length_b 7.9314
_cell_length_c 7.9314
_cell_angle_alpha 90.00
_cell_angle_beta 90.00
_cell_angle_gamma 90.00
loop_
_atom_site_label
_atom_site_fract_x
_atom_site_fract_y
_atom_site_fract_z
Sn1 0.0000 0.0000 0.0000
Ge1 0.2500 0.2500 0.7500
Au1 0.1248 0.1248 0.3752
```

Summary:
energy above the most stable polymorph in this dataset = 108 meV/atom
calculated volume = 498.9 Å³/cell
crystal system = cubic

(12)
Below is a relaxed structure of Sn3GeAu3, with properties calculated at the GGA-PBE level.

Cell and atoms, written as CIF:
```
data_Sn3GeAu3
_chemical_formula_sum 'Sn12 Ge4 Au12'
_space_group_name_H-M_alt 'C 1 2/m 1'
_space_group_IT_number 12
_cell_length_a 7.2080
_cell_length_b 12.6072
_cell_length_c 7.5010
_cell_angle_alpha 90.00
_cell_angle_beta 102.33
_cell_angle_gamma 90.00
loop_
_space_group_symop_operation_xyz
'x,y,z'
'-x,-y,-z'
'-x,y,-z'
'x,-y,z'
'x+1/2,y+1/2,z'
'-x+1/2,-y+1/2,-z'
'-x+1/2,y+1/2,-z'
'x+1/2,-y+1/2,z'
loop_
_atom_site_label
_atom_site_fract_x
_atom_site_fract_y
_atom_site_fract_z
Sn1 0.0000 0.2054 0.0000
Sn2 0.0000 0.2921 0.5000
Sn3 0.0796 0.5000 0.8281
Ge1 0.1993 0.0000 0.5319
Au1 0.0229 0.0000 0.1911
Au2 0.2396 0.3362 0.2462
```

Summary:
calculated volume = 665.9 Å³/cell
crystal system = monoclinic

| no. | DFT formation energy (kcal/mol of atoms) |
| --- | --- |
| 1 | -3.2 |
| 2 | 2.4 |
| 3 | 0.2 |
| 4 | -0.8 |
| 5 | 0.2 |
| 6 | -2.0 |
| 7 | -1.5 |
| 8 | 2.6 |
| 9 | -1.3 |
| 10 | 1.5 |
| 11 | 2.0 |
| 12 | -1.0 |